This record from the Alexandria database describes crystalline BaTm2Tl3 at its relaxed geometry. The functional is PBE.

Properties
Polymorph energy (0 for the lowest one) = 0.0 kJ per mole of atoms

Cell lengths 3.869, 3.869, 12.112 Å; angles 90.00, 90.00, 90.00 degrees
Fractional coordinates of all 6 atoms:
Tm1 0.500 0.500 0.849
Tl1 0.000 0.000 0.703
Tl2 0.000 0.000 0.000
Tl3 0.000 0.000 0.297
Ba1 0.500 0.500 0.500
Tm2 0.500 0.500 0.151

This record from the Alexandria database describes crystalline KCd2Sb at its relaxed geometry. The functional is PBE.

Properties
Raw formation energy = 3.6 meV per atom

Cell lengths 6.158, 6.158, 6.158 Å; angles 134.49, 134.49, 66.32 degrees
Fractional coordinates of all 4 atoms:
Sb1 0.750 0.250 0.500
K1 0.500 0.500 0.000
Cd1 0.000 0.000 0.000
Cd2 0.250 0.750 0.500

The records above give, respectively, calculated volume values of 30.23 29.25 Å³ per atom.